{
  "formula": "DyHo3Te4",
  "functional": "PBE",
  "state": "optimized geometry",
  "sg": "No. 13",
  "e_form_raw_kj_per_mol_atoms": -121,
  "de_polymorph_kcal_per_mol_atoms": 0.00,
  "crystal_system": "monoclinic",
  "mass_density_g_cm3": 8.398,
  "cell": [[7.542, 0.000, 0.000], [0.000, 8.600, 0.000], [-2.482, 0.000, 7.120]],
  "species": ["Dy", "Dy", "Ho", "Ho", "Ho", "Ho", "Ho", "Ho", "Te", "Te", "Te", "Te", "Te", "Te", "Te", "Te"],
  "frac_coords": [[0.000, 0.124, 0.250], [0.000, 0.876, 0.750], [0.000, 0.374, 0.750], [0.000, 0.626, 0.250], [0.500, 0.125, 0.750], [0.500, 0.374, 0.250], [0.500, 0.626, 0.750], [0.500, 0.875, 0.250], [0.250, 0.376, 0.500], [0.250, 0.624, 0.000], [0.251, 0.126, 0.000], [0.251, 0.874, 0.500], [0.749, 0.126, 0.500], [0.749, 0.874, 0.000], [0.750, 0.376, 0.000], [0.750, 0.624, 0.500]]
}

***

{
  "formula": "ZnCr2",
  "functional": "PBE",
  "state": "optimized geometry",
  "sg": "No. 140",
  "crystal_system": "tetragonal",
  "mass_density_g_cm3": 7.194,
  "e_form_ev_per_fu": 1.27,
  "cell": [[-2.889, 2.889, 2.343], [2.889, -2.889, 2.343], [2.889, 2.889, -2.343]],
  "species": ["Zn", "Zn", "Cr", "Cr", "Cr", "Cr"],
  "frac_coords": [[0.250, 0.250, 0.000], [0.750, 0.750, 0.000], [0.125, 0.625, 0.750], [0.375, 0.125, 0.500], [0.625, 0.875, 0.500], [0.875, 0.375, 0.250]]
}

***

{
  "formula": "Ti2InRu2",
  "functional": "PBE",
  "state": "optimized geometry",
  "sg": "No. 127",
  "crystal_system": "tetragonal",
  "mass_density_g_cm3": 8.266,
  "e_form_ev_per_fu": -1.63,
  "cell": [[7.372, 0.000, 0.000], [0.000, 7.372, 0.000], [0.000, 0.000, 3.051]],
  "species": ["Ti", "Ti", "Ti", "Ti", "In", "In", "Ru", "Ru", "Ru", "Ru"],
  "frac_coords": [[0.151, 0.349, 0.000], [0.349, 0.849, 0.000], [0.651, 0.151, 0.000], [0.849, 0.651, 0.000], [0.000, 0.000, 0.500], [0.500, 0.500, 0.500], [0.142, 0.642, 0.500], [0.358, 0.142, 0.500], [0.642, 0.858, 0.500], [0.858, 0.358, 0.500]]
}